# NaPRh2Br, relaxed, DFT PBE
data_NaPRh2Br
_symmetry_space_group_name_H-M 'P 4/m m m'
_symmetry_Int_Tables_number 123
_symmetry_space_group_name_Hall '-P 4 2'
_cell_length_a 4.810
_cell_length_b 4.810
_cell_length_c 4.635
_cell_angle_alpha 90.00
_cell_angle_beta 90.00
_cell_angle_gamma 90.00
loop_
_atom_site_label
_atom_site_type_symbol
_atom_site_fract_x
_atom_site_fract_y
_atom_site_fract_z
Na1 Na 0.000 0.000 0.000
P1 P 0.500 0.500 0.500
Rh1 Rh 0.000 0.500 0.000
Br1 Br 0.000 0.000 0.500
# magnetization = 0.25 μB per atom
# uncorrected formation energy = 1.601 eV per atom
# crystal system = tetragonal

# ThAgP2O8, relaxed, DFT PBE
data_ThAgP2O8
_symmetry_space_group_name_H-M 'P -3 m 1'
_symmetry_Int_Tables_number 164
_symmetry_space_group_name_Hall '-P 3 2"'
_cell_length_a 5.5883
_cell_length_b 5.5883
_cell_length_c 6.9279
_cell_angle_alpha 90.00
_cell_angle_beta 90.00
_cell_angle_gamma 120.00
loop_
_atom_site_label
_atom_site_type_symbol
_atom_site_fract_x
_atom_site_fract_y
_atom_site_fract_z
Th1 Th 0.0000 0.0000 0.0000
Ag1 Ag 0.0000 0.0000 0.5000
P1 P 0.3333 0.6667 0.2938
O1 O 0.1829 0.3659 0.2114
O2 O 0.3333 0.6667 0.5131
# magnetization = 0.09 μB per atom
# uncorrected formation energy = -2.195 eV per atom
# crystal system = trigonal

# NiBi2Rh, relaxed, DFT PBE
data_NiBi2Rh
_symmetry_space_group_name_H-M 'R -3 m'
_symmetry_Int_Tables_number 166
_symmetry_space_group_name_Hall '-R 3 2"'
_cell_length_a 3.3799
_cell_length_b 3.3799
_cell_length_c 26.9810
_cell_angle_alpha 90.00
_cell_angle_beta 90.00
_cell_angle_gamma 120.00
loop_
_atom_site_label
_atom_site_type_symbol
_atom_site_fract_x
_atom_site_fract_y
_atom_site_fract_z
Ni1 Ni 0.0000 0.0000 0.0000
Bi1 Bi 0.0000 0.0000 0.4028
Rh1 Rh 0.0000 0.0000 0.5000
# magnetization = 0.00 μB per atom
# formation enthalpy at 0 K = 0.4220 eV/atom
# crystal system = trigonal

# Tl2AgHg, relaxed, DFT PBE
data_Tl2AgHg
_symmetry_space_group_name_H-M 'I m m 2'
_symmetry_Int_Tables_number 44
_cell_length_a 3.401
_cell_length_b 5.505
_cell_length_c 11.201
_cell_angle_alpha 90.00
_cell_angle_beta 90.00
_cell_angle_gamma 90.00
loop_
_symmetry_equiv_pos_as_xyz
'x,y,z'
'-x,-y,z'
'-x,y,z'
'x,-y,z'
'x+1/2,y+1/2,z+1/2'
'-x+1/2,-y+1/2,z+1/2'
'-x+1/2,y+1/2,z+1/2'
'x+1/2,-y+1/2,z+1/2'
loop_
_atom_site_label
_atom_site_type_symbol
_atom_site_fract_x
_atom_site_fract_y
_atom_site_fract_z
Tl1 Tl 0.000 0.000 0.000
Tl2 Tl 0.000 0.500 0.217
Ag1 Ag 0.000 0.500 0.731
Hg1 Hg 0.000 0.000 0.446
# ΔE to the lowest computed polymorph = 0 meV/atom
# magnetization = 0.00 μB per atom
# formation enthalpy at 0 K = 0.0683 eV/atom
# crystal system = orthorhombic

Results for DOS at the Fermi energy: 7.728; 8.015; 10.745; 2.420 (in states/eV per cell, following the order of the records).